## La2HfBiW (SCAN)

Data for a crystal of La2HfBiW relaxed with PBEsol.

It has space group P4/mmm (No. 123), with a = 5.915 Å, b = 5.915 Å, c = 5.250 Å, α = 90.00°, β = 90.00° and γ = 90.00°. The inequivalent atoms are La at (0.000, 0.500, 0.000), Hf at (0.000, 0.000, 0.500), Bi at (0.000, 0.000, 0.000) and W at (0.500, 0.500, 0.500).

Its total magnetization is 3.09 μB/cell. Its density of states at the Fermi level is 6.05 states/eV/cell. Its total energy is -289.83 eV for the cell shown. As for the energy of formation: 1465 meV per atom.